Entry from the Alexandria database: an optimized crystal structure of Pu2Hg3Au (PBE).

Structure (POSCAR):
```
Pu2Hg3Au
1.0
3.1340 0.0000 0.0000
0.0000 5.0582 0.0000
0.0000 0.0000 8.8250
Pu Hg Au
2 3 1
direct
0.0000 0.5000 0.0100
0.0000 0.0000 0.4917
0.5000 0.0000 0.8329
0.5000 0.0000 0.1687
0.5000 0.5000 0.6629
0.5000 0.5000 0.3338
```

Values from the calculation:
- Magnetic moment: 11.375 Bohr magnetons per cell
- Theoretical density: 15.273 Mg/m³
- Crystal system: orthorhombic
- Space-group type: No. 25
- Formation enthalpy at 0 K: -0.26 eV per atom
- VASP energy: -5.735 eV per atom

Entry from the Alexandria database: an optimized crystal structure of Ga3AgMo (PBE).

Structure (POSCAR):
```
Ga3AgMo
1.0
-3.2257 2.4329 -2.7556
-0.9881 -4.1050 -2.4677
-3.5406 -1.0709 3.1991
Mo Ga Ag
1 3 1
direct
0.0000 0.0000 0.0000
0.0000 0.5000 0.0000
0.0000 0.0000 0.5000
0.5000 0.0000 0.0000
0.5000 0.5000 0.5000
```

Values from the calculation:
- Magnetic moment: 0.000 Bohr magnetons per cell
- Theoretical density: 5.863 Mg/m³
- Crystal system: cubic
- Space-group type: No. 221
- Formation enthalpy at 0 K: 0.53 eV per atom
- VASP energy: -4.026 eV per atom

Entry from the Alexandria database: an optimized crystal structure of SrCr2Re (PBE).

Structure (POSCAR):
```
SrCr2Re
1.0
-2.4276 1.3099 -0.3760
-0.4668 -2.6481 0.7211
-0.0646 2.4429 8.9287
Cr Re Sr
2 1 1
direct
0.0000 0.0000 0.0445
0.0000 0.0000 0.4555
0.5000 0.5000 0.2500
0.5000 0.5000 0.7500
```

Values from the calculation:
- Magnetic moment: 0.007 Bohr magnetons per cell
- Theoretical density: 9.285 Mg/m³
- Crystal system: orthorhombic
- Space-group type: No. 65
- Formation enthalpy at 0 K: 0.96 eV per atom
- VASP energy: -7.384 eV per atom

Entry from the Alexandria database: an optimized crystal structure of AlGaAs2P (PBE).

Structure (POSCAR):
```
AlGaAs2P
1.0
-1.1248 2.0737 4.2891
-3.7170 -2.7571 0.3583
2.7077 -3.3478 2.3287
P As Al Ga
1 2 1 1
direct
0.0000 0.0000 0.0000
0.0000 0.0000 0.5000
0.5000 0.0000 0.0000
0.0000 0.5000 0.0000
0.5000 0.5000 0.5000
```

Values from the calculation:
- Magnetic moment: 0.000 Bohr magnetons per cell
- Theoretical density: 4.143 Mg/m³
- Crystal system: tetragonal
- Space-group type: No. 123
- Formation enthalpy at 0 K: 0.51 eV per atom
- VASP energy: -3.786 eV per atom

Entry from the Alexandria database: an optimized crystal structure of Ac3La4Pm (PBE).

Structure (POSCAR):
```
Ac3La4Pm
1.0
-3.8829 -3.7602 0.1709
-1.8033 -1.7488 6.1117
-8.7012 5.0486 -1.0493
Ac Pm La
3 1 4
direct
0.7421 0.7602 0.7556
0.2579 0.2398 0.2444
0.5000 0.5000 0.5000
0.0000 0.0000 0.0000
0.8789 0.8709 0.3712
0.1211 0.1291 0.6288
0.3711 0.3796 0.8781
0.6289 0.6204 0.1219
```

Values from the calculation:
- Magnetic moment: 0.000 Bohr magnetons per cell
- Theoretical density: 7.269 Mg/m³
- Crystal system: monoclinic
- Space-group type: No. 12
- Formation enthalpy at 0 K: 0.02 eV per atom
- VASP energy: -4.574 eV per atom

Entry from the Alexandria database: an optimized crystal structure of LaNd4Pt4 (PBE).

Structure (POSCAR):
```
LaNd4Pt4
1.0
5.9164 0.0000 0.0000
0.0000 9.4227 0.0000
0.0000 0.0000 9.4227
La Nd Pt
2 8 8
direct
0.0000 0.0000 0.0000
0.5000 0.5000 0.5000
0.4992 0.3142 0.8984
0.9992 0.6016 0.8142
0.4992 0.6858 0.1016
0.0008 0.1858 0.6016
0.5008 0.8984 0.6858
0.0008 0.8142 0.3984
0.9992 0.3984 0.1858
0.5008 0.1016 0.3142
0.5007 0.7947 0.3960
0.5007 0.2053 0.6040
0.0007 0.8960 0.7053
0.9993 0.2947 0.8960
0.9993 0.7053 0.1040
0.4993 0.3960 0.2053
0.4993 0.6040 0.7947
0.0007 0.1040 0.2947
```

Values from the calculation:
- Magnetic moment: 0.000 Bohr magnetons per cell
- Theoretical density: 9.459 Mg/m³
- Crystal system: tetragonal
- Space-group type: No. 87
- Formation enthalpy at 0 K: -0.98 eV per atom
- VASP energy: -6.333 eV per atom

Entry from the Alexandria database: an optimized crystal structure of Pm5Cd4Pb (PBE).

Structure (POSCAR):
```
Pm5Cd4Pb
1.0
-0.3962 3.7845 0.2404
-3.7409 -0.4297 0.5986
3.1949 -0.8929 19.3254
Pm Cd Pb
5 4 1
direct
0.5000 0.5000 0.1064
0.5000 0.5000 0.3028
0.5000 0.5000 0.5000
0.5000 0.5000 0.6972
0.5000 0.5000 0.8936
0.0000 0.0000 0.2069
0.0000 0.0000 0.4005
0.0000 0.0000 0.5995
0.0000 0.0000 0.7931
0.0000 0.0000 0.0000
```

Values from the calculation:
- Magnetic moment: 0.660 Bohr magnetons per cell
- Theoretical density: 8.050 Mg/m³
- Crystal system: tetragonal
- Space-group type: No. 123
- Formation enthalpy at 0 K: -0.36 eV per atom
- VASP energy: -3.469 eV per atom

Entry from the Alexandria database: an optimized crystal structure of Sm5ErZn4 (PBE).

Structure (POSCAR):
```
Sm5ErZn4
1.0
-0.5047 -3.4424 -1.0559
1.2693 -1.1679 3.2007
-18.0982 0.4064 7.3252
Sm Er Zn
5 1 4
direct
0.5000 0.5000 0.1283
0.5000 0.5000 0.3141
0.5000 0.5000 0.5000
0.5000 0.5000 0.6859
0.5000 0.5000 0.8717
0.0000 0.0000 0.0000
0.0000 0.0000 0.2206
0.0000 0.0000 0.4064
0.0000 0.0000 0.5936
0.0000 0.0000 0.7794
```

Values from the calculation:
- Magnetic moment: 0.000 Bohr magnetons per cell
- Theoretical density: 7.594 Mg/m³
- Crystal system: tetragonal
- Space-group type: No. 123
- Formation enthalpy at 0 K: -0.25 eV per atom
- VASP energy: -3.574 eV per atom

V: 23.32; 23.39; 16.89; 22.25; 39.45; 29.18; 28.51; 25.82 (Å³/atom)